No. 1
A plane-wave DFT calculation with SCAN was carried out for Cr2CdFe at its PBEsol-relaxed geometry.

Lattice parameters (Å, degrees): 2.626 2.626 25.897 90.00 90.00 120.00
Element x y z (fractional)
Cr1 0.000 0.000 0.000
Cr2 0.000 0.000 0.255
Cr3 0.333 0.667 0.667
Cr4 0.333 0.667 0.922
Cr5 0.667 0.333 0.333
Cr6 0.667 0.333 0.588
Cd1 0.000 0.000 0.761
Cd2 0.333 0.667 0.428
Cd3 0.667 0.333 0.095
Fe1 0.000 0.000 0.520
Fe2 0.333 0.667 0.186
Fe3 0.667 0.333 0.853

Calculated values
- VASP energy (eV/atom) = -20.804
- calculated formation energy (eV per atom) = 0.5240

=====

No. 2
A plane-wave DFT calculation with SCAN was carried out for Cr2CdFeSi at its PBEsol-relaxed geometry.

Lattice parameters (Å, degrees): 4.840 4.840 4.688 90.00 90.00 90.00
Element x y z (fractional)
Cr1 0.000 0.500 0.000
Cr2 0.500 0.000 0.000
Cd1 0.000 0.000 0.000
Fe1 0.000 0.000 0.500
Si1 0.500 0.500 0.500

Calculated values
- VASP energy (eV/atom) = -17.510
- energy relative to the elements, uncorrected (eV per formula unit) = 7.78

=====

No. 3
A plane-wave DFT calculation with SCAN was carried out for CrCdGa2Pt at its PBEsol-relaxed geometry.

Lattice parameters (Å, degrees): 4.737 4.737 4.978 90.00 90.00 90.00
Element x y z (fractional)
Cr1 0.000 0.000 0.000
Cd1 0.000 0.000 0.500
Ga1 0.000 0.500 0.500
Ga2 0.500 0.000 0.500
Pt1 0.500 0.500 0.000

Calculated values
- VASP energy (eV/atom) = -29.281
- calculated formation energy (eV per atom) = 1.0558

=====

No. 4
A plane-wave DFT calculation with SCAN was carried out for Cr3CdGe at its PBEsol-relaxed geometry.

Lattice parameters (Å, degrees): 4.589 4.589 4.589 90.00 90.00 90.00
Element x y z (fractional)
Cr1 0.000 0.000 0.500
Cr2 0.000 0.500 0.000
Cr3 0.500 0.000 0.000
Cd1 0.500 0.500 0.500
Ge1 0.000 0.000 0.000

Calculated values
- VASP energy (eV/atom) = -20.278
- calculated formation energy (eV per atom) = 0.6534

=====

No. 5
A plane-wave DFT calculation with SCAN was carried out for CrCdGe3 at its PBEsol-relaxed geometry.

Lattice parameters (Å, degrees): 5.026 5.026 5.026 90.00 90.00 90.00
Element x y z (fractional)
Cr1 0.000 0.000 0.000
Cd1 0.500 0.500 0.500
Ge1 0.000 0.500 0.500
Ge2 0.500 0.000 0.500
Ge3 0.500 0.500 0.000

Calculated values
- VASP energy (eV/atom) = -20.120
- calculated formation energy (eV per atom) = 1.0924

=====

No. 6
A plane-wave DFT calculation with SCAN was carried out for CrCd3Ge at its PBEsol-relaxed geometry.

Lattice parameters (Å, degrees): 5.066 5.066 5.066 90.00 90.00 90.00
Element x y z (fractional)
Cr1 0.000 0.000 0.000
Cd1 0.000 0.500 0.500
Cd2 0.500 0.000 0.500
Cd3 0.500 0.500 0.000
Ge1 0.500 0.500 0.500

Calculated values
- VASP energy (eV/atom) = -25.072
- calculated formation energy (eV per atom) = 0.6715

=====

No. 7
A plane-wave DFT calculation with SCAN was carried out for CrCd2NiGe at its PBEsol-relaxed geometry.

Lattice parameters (Å, degrees): 4.994 4.994 4.544 90.00 90.00 90.00
Element x y z (fractional)
Cr1 0.000 0.000 0.000
Cd1 0.000 0.500 0.000
Cd2 0.500 0.000 0.000
Ni1 0.500 0.500 0.500
Ge1 0.000 0.000 0.500

Calculated values
- VASP energy (eV/atom) = -21.918
- calculated formation energy (eV per atom) = 0.9767

=====

No. 8
A plane-wave DFT calculation with SCAN was carried out for Zn2CrCdGe at its PBEsol-relaxed geometry.

Lattice parameters (Å, degrees): 4.612 4.612 5.240 90.00 90.00 90.00
Element x y z (fractional)
Zn1 0.000 0.500 0.000
Zn2 0.500 0.000 0.000
Cr1 0.000 0.000 0.500
Cd1 0.500 0.500 0.500
Ge1 0.500 0.500 0.000

Calculated values
- VASP energy (eV/atom) = -18.286
- calculated formation energy (eV per atom) = 0.6977

=====

no.,volume (Å³/atom)
1,12.883
2,21.968
3,22.341
4,19.330
5,25.393
6,26.003
7,22.669
8,22.292